Computed, not measured: a relaxed structure of Sr5PmIn6 at the GGA-PBE level of DFT.

Computed properties:
* SG: C2/m
* DOS at the Fermi energy: 0.658 states/eV/atom
* size of the total moment: 0.00 μB per cell
* ΔH_f (0 K): -0.434 eV per atom

a b c (Å): 5.728 8.006 9.900
angles (deg): 66.15 73.00 90.01
Positions (direct):
1 Sr 0.679 0.179 0.643
2 Sr 0.339 0.339 0.322
3 Sr 0.000 0.500 0.000
4 Sr 0.661 0.661 0.678
5 Sr 0.321 0.821 0.357
6 In 0.839 0.609 0.321
7 In 0.839 0.070 0.321
8 In 0.500 0.780 0.000
9 In 0.500 0.220 0.000
10 In 0.161 0.930 0.679
11 In 0.161 0.391 0.679
12 Pm 0.000 0.000 0.000

***

Computed, not measured: a relaxed structure of Ac4PrY at the GGA-PBE level of DFT.

Computed properties:
* SG: F-43m
* DOS at the Fermi energy: 1.593 states/eV/atom
* relative energy among the computed polymorphs: 200 meV/atom
* size of the total moment: 0.00 μB per cell
* ΔH_f (0 K): 0.332 eV per atom

a b c (Å): 7.173 7.173 7.173
angles (deg): 60.00 60.00 60.00
Positions (direct):
1 Pr 0.250 0.250 0.250
2 Y 0.000 0.000 0.000
3 Ac 0.626 0.626 0.123
4 Ac 0.626 0.123 0.626
5 Ac 0.626 0.626 0.626
6 Ac 0.123 0.626 0.626

***

Computed, not measured: a relaxed structure of NpSe2O8 at the GGA-PBE level of DFT.

Computed properties:
* uncorrected formation energy: -1.289 eV per atom
* SG: P-1
* DOS at the Fermi energy: 0.338 states/eV/atom
* size of the total moment: 0.81 μB per cell

a b c (Å): 7.044 6.097 5.731
angles (deg): 69.93 87.06 71.46
Last column: magnetic moment on the atom in μB.
Positions (direct):
1 Np 0.000 0.000 0.000  -0.03
2 Se 0.309 0.645 0.595  0.04
3 Se 0.691 0.355 0.405  0.04
4 O 0.214 0.889 0.316  0.04
5 O 0.067 0.274 0.860  0.02
6 O 0.786 0.111 0.684  0.04
7 O 0.443 0.379 0.383  0.16
8 O 0.933 0.726 0.140  0.02
9 O 0.228 0.813 0.799  0.10
10 O 0.772 0.187 0.201  0.10
11 O 0.557 0.621 0.617  0.16

***

Computed, not measured: a relaxed structure of Ac2ZnCu2O6 at the GGA-PBE level of DFT.

Computed properties:
* uncorrected formation energy: -1.734 eV per atom
* SG: R-3m
* DOS at the Fermi energy: 0.429 states/eV/atom
* size of the total moment: 2.02 μB per cell

a b c (Å): 5.841 5.841 6.301
angles (deg): 62.39 62.39 60.00
Last column: magnetic moment on the atom in μB.
Positions (direct):
1 Ac 0.783 0.783 0.652  -0.01
2 Ac 0.217 0.217 0.348  -0.01
3 Zn 0.000 0.000 0.000  0.03
4 Cu 0.420 0.420 0.741  0.44
5 Cu 0.580 0.580 0.259  0.44
6 O 0.759 0.759 0.273  0.17
7 O 0.210 0.759 0.273  0.17
8 O 0.759 0.210 0.273  0.17
9 O 0.241 0.790 0.727  0.17
10 O 0.790 0.241 0.727  0.17
11 O 0.241 0.241 0.727  0.17

***

Computed, not measured: a relaxed structure of Nb2AgHPt at the GGA-PBE level of DFT.

Computed properties:
* SG: P4/mmm
* DOS at the Fermi energy: 0.604 states/eV/atom
* relative energy among the computed polymorphs: 0 meV/atom
* size of the total moment: 0.00 μB per cell

a b c (Å): 4.090 4.090 4.235
angles (deg): 90.00 90.00 90.00
Positions (direct):
1 H 0.000 0.000 0.000
2 Nb 0.000 0.500 0.000
3 Nb 0.500 0.000 0.000
4 Ag 0.000 0.000 0.500
5 Pt 0.500 0.500 0.500

***

Computed, not measured: a relaxed structure of YThBi at the GGA-PBE level of DFT.

Computed properties:
* SG: P2_1/c
* DOS at the Fermi energy: 1.044 states/eV/atom
* size of the total moment: 0.00 μB per cell
* ΔH_f (0 K): -0.362 eV per atom

a b c (Å): 6.485 7.918 7.617
angles (deg): 98.18 90.00 90.00
Positions (direct):
1 Th 0.148 0.480 0.183
2 Th 0.648 0.020 0.817
3 Th 0.852 0.520 0.817
4 Th 0.352 0.980 0.183
5 Bi 0.130 0.159 0.841
6 Bi 0.630 0.341 0.159
7 Bi 0.870 0.841 0.159
8 Bi 0.370 0.659 0.841
9 Y 0.122 0.821 0.553
10 Y 0.622 0.679 0.447
11 Y 0.878 0.179 0.447
12 Y 0.378 0.321 0.553

***

Computed, not measured: a relaxed structure of MnP2Br at the GGA-PBE level of DFT.

Computed properties:
* uncorrected formation energy: 0.005 eV per atom
* SG: P2/m
* DOS at the Fermi energy: 0.352 states/eV/atom
* relative energy among the computed polymorphs: 73 meV/atom
* size of the total moment: 4.00 μB per cell

a b c (Å): 4.450 3.559 5.467
angles (deg): 70.09 90.00 90.00
Last column: magnetic moment on the atom in μB.
Positions (direct):
1 Br 0.500 0.250 0.250  0.07
2 Mn 0.500 0.750 0.750  3.73
3 P 0.000 0.929 0.890  -0.03
4 P 0.000 0.571 0.610  -0.03

***

Computed, not measured: a relaxed structure of Ta5Nb6Au at the GGA-PBE level of DFT.

Computed properties:
* SG: Immm
* DOS at the Fermi energy: 0.994 states/eV/atom
* size of the total moment: 0.00 μB per cell
* ΔH_f (0 K): -0.037 eV per atom

a b c (Å): 4.726 8.056 8.056
angles (deg): 119.28 107.06 107.06
Positions (direct):
1 Nb 0.255 0.085 0.424
2 Nb 0.745 0.576 0.915
3 Nb 0.757 0.258 0.258
4 Nb 0.243 0.742 0.742
5 Nb 0.255 0.424 0.085
6 Nb 0.745 0.915 0.576
7 Au 0.000 0.000 0.000
8 Ta 0.500 0.166 0.834
9 Ta 0.000 0.333 0.667
10 Ta 0.500 0.500 0.500
11 Ta 0.000 0.667 0.333
12 Ta 0.500 0.834 0.166

***

Computed, not measured: a relaxed structure of Li2GeBr at the GGA-PBE level of DFT.

Computed properties:
* uncorrected formation energy: -0.419 eV per atom
* SG: I-42d
* DOS at the Fermi energy: 0.272 states/eV/atom
* relative energy among the computed polymorphs: 0 meV/atom
* size of the total moment: 0.00 μB per cell

a b c (Å): 7.042 7.042 6.027
angles (deg): 54.25 54.25 90.00
Positions (direct):
1 Ge 0.500 0.500 0.000
2 Ge 0.250 0.750 0.500
3 Br 0.000 0.000 0.000
4 Br 0.750 0.250 0.500
5 Li 0.652 0.125 0.250
6 Li 0.098 0.625 0.250
7 Li 0.375 0.348 0.750
8 Li 0.875 0.902 0.750

***

Computed, not measured: a relaxed structure of Ho12Ag3N5 at the GGA-PBE level of DFT.

Computed properties:
* uncorrected formation energy: -0.772 eV per atom
* SG: Ia-3d
* DOS at the Fermi energy: 1.028 states/eV/atom
* size of the total moment: 0.00 μB per cell

a b c (Å): 13.316 13.316 13.316
angles (deg): 109.47 109.47 109.47
Positions (direct):
1 Ho 0.700 0.113 0.015
2 Ho 0.315 0.515 0.402
3 Ho 0.985 0.387 0.300
4 Ho 0.515 0.200 0.113
5 Ho 0.587 0.700 0.685
6 Ho 0.985 0.598 0.185
7 Ho 0.315 0.800 0.413
8 Ho 0.098 0.913 0.113
9 Ho 0.598 0.985 0.685
10 Ho 0.700 0.587 0.185
11 Ho 0.800 0.485 0.387
12 Ho 0.815 0.902 0.015
13 Ho 0.113 0.700 0.515
14 Ho 0.387 0.402 0.087
15 Ho 0.087 0.902 0.387
16 Ho 0.413 0.113 0.598
17 Ho 0.087 0.185 0.200
18 Ho 0.485 0.685 0.098
19 Ho 0.815 0.913 0.300
20 Ho 0.113 0.413 0.098
21 Ho 0.387 0.985 0.800
22 Ho 0.598 0.613 0.413
23 Ho 0.902 0.815 0.515
24 Ho 0.800 0.315 0.913
25 Ho 0.402 0.387 0.587
26 Ho 0.098 0.185 0.485
27 Ho 0.200 0.685 0.087
28 Ho 0.185 0.087 0.700
29 Ho 0.613 0.015 0.200
30 Ho 0.887 0.587 0.902
31 Ho 0.515 0.315 0.902
32 Ho 0.587 0.887 0.402
33 Ho 0.913 0.815 0.800
34 Ho 0.913 0.098 0.613
35 Ho 0.887 0.300 0.485
36 Ho 0.185 0.098 0.985
37 Ho 0.613 0.598 0.913
38 Ho 0.402 0.015 0.315
39 Ho 0.300 0.413 0.815
40 Ho 0.200 0.515 0.613
41 Ho 0.902 0.087 0.887
42 Ho 0.685 0.200 0.587
43 Ho 0.485 0.800 0.887
44 Ho 0.015 0.402 0.815
45 Ho 0.413 0.300 0.315
46 Ho 0.015 0.613 0.700
47 Ho 0.685 0.485 0.598
48 Ho 0.300 0.887 0.985
49 Ag 0.750 0.375 0.125
50 Ag 0.875 0.750 0.125
51 Ag 0.375 0.750 0.625
52 Ag 0.250 0.125 0.375
53 Ag 0.875 0.125 0.250
54 Ag 0.375 0.625 0.250
55 Ag 0.625 0.375 0.750
56 Ag 0.125 0.875 0.750
57 Ag 0.750 0.875 0.625
58 Ag 0.625 0.250 0.375
59 Ag 0.125 0.250 0.875
60 Ag 0.250 0.625 0.875
61 N 0.125 0.375 0.250
62 N 0.000 0.500 0.000
63 N 0.000 0.000 0.000
64 N 0.375 0.250 0.125
65 N 0.500 0.000 0.500
66 N 0.500 0.500 0.000
67 N 0.125 0.750 0.375
68 N 0.750 0.125 0.875
69 N 0.750 0.625 0.375
70 N 0.375 0.125 0.750
71 N 0.625 0.875 0.250
72 N 0.500 0.500 0.500
73 N 0.500 0.000 0.000
74 N 0.000 0.000 0.500
75 N 0.250 0.375 0.625
76 N 0.250 0.875 0.125
77 N 0.000 0.500 0.500
78 N 0.875 0.250 0.625
79 N 0.625 0.750 0.875
80 N 0.875 0.625 0.750

***

Computed, not measured: a relaxed structure of UGaPdRh at the GGA-PBE level of DFT.

Computed properties:
* SG: F-43m
* DOS at the Fermi energy: 1.517 states/eV/atom
* size of the total moment: 2.11 μB per cell
* ΔH_f (0 K): -0.427 eV per atom

a b c (Å): 4.672 4.672 4.672
angles (deg): 60.00 60.00 60.00
Last column: magnetic moment on the atom in μB.
Positions (direct):
1 Rh 0.500 0.500 0.500  -0.09
2 U 0.750 0.750 0.750  2.03
3 Ga 0.250 0.250 0.250  0.02
4 Pd 0.000 0.000 0.000  -0.03